[1]
# Cs2SbSI6

A relaxed Cs2SbSI6 crystal (GGA-PBE, the Alexandria database).

Summary:
* D(E_F): 4.088 states/eV/cell
* symmetry: I4/mmm
* E: -2.56 eV per atom

Unit cell a=8.445 b=8.445 c=8.445 alpha=118.89 beta=118.89 gamma=91.92
Atoms (fractional coordinates):
Cs: 0.250 0.750 0.500
Cs: 0.750 0.250 0.500
Sb: 0.000 0.000 0.000
S: 0.500 0.500 0.000
I: 0.248 0.248 0.495
I: 0.248 0.752 0.000
I: 0.258 0.258 0.000
I: 0.742 0.742 0.000
I: 0.752 0.248 0.000
I: 0.752 0.752 0.505

---

[2]
# CsSbS2I

A relaxed CsSbS2I crystal (GGA-PBE, the Alexandria database).

Summary:
* D(E_F): 2.823 states/eV/cell
* symmetry: P4/mmm
* E: -2.38 eV per atom

Unit cell a=5.359 b=5.359 c=6.983 alpha=90.00 beta=90.00 gamma=90.00
Atoms (fractional coordinates):
Cs: 0.000 0.000 0.000
Sb: 0.500 0.500 0.000
S: 0.000 0.500 0.500
S: 0.500 0.000 0.500
I: 0.000 0.000 0.500

---

[3]
# Cs2SeSI6

A relaxed Cs2SeSI6 crystal (GGA-PBE, the Alexandria database).

Summary:
* D(E_F): 3.013 states/eV/cell
* symmetry: I4/mmm
* E: -2.42 eV per atom

Unit cell a=8.257 b=8.257 c=8.257 alpha=119.03 beta=119.03 gamma=91.68
Atoms (fractional coordinates):
Cs: 0.250 0.750 0.500
Cs: 0.750 0.250 0.500
Se: 0.000 0.000 0.000
S: 0.500 0.500 0.000
I: 0.251 0.251 0.502
I: 0.251 0.749 0.000
I: 0.255 0.255 0.000
I: 0.745 0.745 0.000
I: 0.749 0.251 0.000
I: 0.749 0.749 0.498

---

[4]
# Cs2SeSI

A relaxed Cs2SeSI crystal (GGA-PBE, the Alexandria database).

Summary:
* D(E_F): 3.006 states/eV/cell
* symmetry: P4/mmm
* E: -3.09 eV per atom

Unit cell a=6.889 b=6.889 c=4.768 alpha=90.00 beta=90.00 gamma=90.00
Atoms (fractional coordinates):
Cs: 0.000 0.500 0.000
Cs: 0.500 0.000 0.000
Se: 0.000 0.000 0.500
S: 0.000 0.000 0.000
I: 0.500 0.500 0.500